Entry P
# ScHgSeO, optimized geometry, DFT PBE
# M_tot   0.3 μB per formula unit
# Volume   18.6 Å³/atom
data_ScHgSeO
_chemical_formula_sum 'Sc2 Hg2 Se2 O2'
_cell_length_a 3.889
_cell_length_b 3.889
_cell_length_c 9.834
_cell_angle_alpha 90.00
_cell_angle_beta 90.00
_cell_angle_gamma 90.00
_symmetry_space_group_name_H-M 'P 4/n m m'
_symmetry_Int_Tables_number 129
loop_
_symmetry_equiv_pos_as_xyz
'x,y,z'
'-x,-y,-z'
'-y+1/2,x,z'
'y+1/2,-x,-z'
'-x+1/2,-y+1/2,z'
'x+1/2,y+1/2,-z'
'y,-x+1/2,z'
'-y,x+1/2,-z'
'x+1/2,-y,-z'
'-x+1/2,y,z'
'-y,-x,-z'
'y,x,z'
'-x,y+1/2,-z'
'x,-y+1/2,z'
'y+1/2,x+1/2,-z'
'-y+1/2,-x+1/2,z'
loop_
_atom_site_label
_atom_site_type_symbol
_atom_site_fract_x
_atom_site_fract_y
_atom_site_fract_z
Sc1 Sc 0.250 0.250 0.091
Hg1 Hg 0.250 0.750 0.500
Se1 Se 0.250 0.250 0.749
O1 O 0.250 0.750 0.000


Entry Q
# ScHgSeO, optimized geometry, DFT PBE
# M_tot   0.0 μB per formula unit
# Volume   26.2 Å³/atom
data_ScHgSeO
_chemical_formula_sum 'Sc2 Hg2 Se2 O2'
_cell_length_a 4.265
_cell_length_b 8.811
_cell_length_c 5.568
_cell_angle_alpha 90.00
_cell_angle_beta 90.00
_cell_angle_gamma 90.00
_symmetry_space_group_name_H-M 'P m c 21'
_symmetry_Int_Tables_number 26
loop_
_symmetry_equiv_pos_as_xyz
'x,y,z'
'-x,-y,z+1/2'
'-x,y,z'
'x,-y,z+1/2'
loop_
_atom_site_label
_atom_site_type_symbol
_atom_site_fract_x
_atom_site_fract_y
_atom_site_fract_z
Sc1 Sc 0.000 0.124 0.000
Hg1 Hg 0.500 0.309 0.576
Se1 Se 0.500 0.305 0.080
O1 O 0.000 0.063 0.674


Entry R
# ScHgSeO, optimized geometry, DFT PBE
# M_tot   0.0 μB per formula unit
# Volume   21.5 Å³/atom
data_ScHgSeO
_chemical_formula_sum 'Sc4 Hg4 Se4 O4'
_cell_length_a 5.386
_cell_length_b 5.394
_cell_length_c 11.872
_cell_angle_alpha 90.00
_cell_angle_beta 92.48
_cell_angle_gamma 90.00
_symmetry_space_group_name_H-M 'P 1 21 1'
_symmetry_Int_Tables_number 4
loop_
_symmetry_equiv_pos_as_xyz
'x,y,z'
'-x,y+1/2,-z'
loop_
_atom_site_label
_atom_site_type_symbol
_atom_site_fract_x
_atom_site_fract_y
_atom_site_fract_z
Sc1 Sc 0.008 0.000 0.079
Sc2 Sc 0.492 0.001 0.921
Hg1 Hg 0.114 0.607 0.404
Hg2 Hg 0.374 0.616 0.600
Se1 Se 0.213 0.247 0.751
Se2 Se 0.286 0.251 0.250
O1 O 0.250 0.256 0.000
O2 O 0.250 0.753 0.000


Entry S
# ScHgSeO, optimized geometry, DFT PBE
# M_tot   0.0 μB per formula unit
# Volume   19.9 Å³/atom
data_ScHgSeO
_chemical_formula_sum 'Sc4 Hg4 Se4 O4'
_cell_length_a 7.071
_cell_length_b 6.987
_cell_length_c 6.452
_cell_angle_alpha 90.00
_cell_angle_beta 93.02
_cell_angle_gamma 90.00
_symmetry_space_group_name_H-M 'P 1 21/c 1'
_symmetry_Int_Tables_number 14
loop_
_symmetry_equiv_pos_as_xyz
'x,y,z'
'-x,-y,-z'
'-x,y+1/2,-z+1/2'
'x,-y+1/2,z+1/2'
loop_
_atom_site_label
_atom_site_type_symbol
_atom_site_fract_x
_atom_site_fract_y
_atom_site_fract_z
Sc1 Sc 0.022 0.119 0.204
Hg1 Hg 0.478 0.692 0.494
Se1 Se 0.260 0.012 0.544
O1 O 0.021 0.657 0.605


Last place for stability: entry P


Entry P
# ScHgTeO, optimized geometry, DFT PBE
# M_tot   0.0 μB per formula unit
# Volume   23.3 Å³/atom
data_ScHgTeO
_chemical_formula_sum 'Sc4 Hg4 Te4 O4'
_cell_length_a 8.381
_cell_length_b 6.963
_cell_length_c 6.392
_cell_angle_alpha 90.00
_cell_angle_beta 90.12
_cell_angle_gamma 90.00
_symmetry_space_group_name_H-M 'P 1 21/c 1'
_symmetry_Int_Tables_number 14
loop_
_symmetry_equiv_pos_as_xyz
'x,y,z'
'-x,-y,-z'
'-x,y+1/2,-z+1/2'
'x,-y+1/2,z+1/2'
loop_
_atom_site_label
_atom_site_type_symbol
_atom_site_fract_x
_atom_site_fract_y
_atom_site_fract_z
Sc1 Sc 0.013 0.122 0.202
Hg1 Hg 0.449 0.685 0.492
Te1 Te 0.263 0.033 0.537
O1 O 0.034 0.655 0.604


Entry Q
# ScHgTeO, optimized geometry, DFT PBE
# M_tot   0.0 μB per formula unit
# Volume   29.5 Å³/atom
data_ScHgTeO
_chemical_formula_sum 'Sc2 Hg2 Te2 O2'
_cell_length_a 4.501
_cell_length_b 8.932
_cell_length_c 5.879
_cell_angle_alpha 90.00
_cell_angle_beta 90.00
_cell_angle_gamma 90.00
_symmetry_space_group_name_H-M 'P m c 21'
_symmetry_Int_Tables_number 26
loop_
_symmetry_equiv_pos_as_xyz
'x,y,z'
'-x,-y,z+1/2'
'-x,y,z'
'x,-y,z+1/2'
loop_
_atom_site_label
_atom_site_type_symbol
_atom_site_fract_x
_atom_site_fract_y
_atom_site_fract_z
Sc1 Sc 0.000 0.114 0.000
Hg1 Hg 0.500 0.300 0.613
Te1 Te 0.500 0.308 0.118
O1 O 0.000 0.061 0.686


Entry R
# ScHgTeO, optimized geometry, DFT PBE
# M_tot   0.0 μB per formula unit
# Volume   23.4 Å³/atom
data_ScHgTeO
_chemical_formula_sum 'Sc4 Hg4 Te4 O4'
_cell_length_a 5.397
_cell_length_b 5.416
_cell_length_c 12.848
_cell_angle_alpha 90.00
_cell_angle_beta 92.69
_cell_angle_gamma 90.00
_symmetry_space_group_name_H-M 'P 1 21 1'
_symmetry_Int_Tables_number 4
loop_
_symmetry_equiv_pos_as_xyz
'x,y,z'
'-x,y+1/2,-z'
loop_
_atom_site_label
_atom_site_type_symbol
_atom_site_fract_x
_atom_site_fract_y
_atom_site_fract_z
Sc1 Sc 0.001 0.000 0.430
Sc2 Sc 0.491 0.505 0.428
Hg1 Hg 0.086 0.317 0.012
Hg2 Hg 0.463 0.584 0.893
Te1 Te 0.143 0.877 0.740
Te2 Te 0.238 0.768 0.248
O1 O 0.252 0.249 0.501
O2 O 0.254 0.744 0.503


Entry S
# ScHgTeO, optimized geometry, DFT PBE
# M_tot   0.0 μB per formula unit
# Volume   20.7 Å³/atom
data_ScHgTeO
_chemical_formula_sum 'Sc2 Hg2 Te2 O2'
_cell_length_a 3.925
_cell_length_b 3.925
_cell_length_c 10.772
_cell_angle_alpha 90.00
_cell_angle_beta 90.00
_cell_angle_gamma 90.00
_symmetry_space_group_name_H-M 'P 4/n m m'
_symmetry_Int_Tables_number 129
loop_
_symmetry_equiv_pos_as_xyz
'x,y,z'
'-x,-y,-z'
'-y+1/2,x,z'
'y+1/2,-x,-z'
'-x+1/2,-y+1/2,z'
'x+1/2,y+1/2,-z'
'y,-x+1/2,z'
'-y,x+1/2,-z'
'x+1/2,-y,-z'
'-x+1/2,y,z'
'-y,-x,-z'
'y,x,z'
'-x,y+1/2,-z'
'x,-y+1/2,z'
'y+1/2,x+1/2,-z'
'-y+1/2,-x+1/2,z'
loop_
_atom_site_label
_atom_site_type_symbol
_atom_site_fract_x
_atom_site_fract_y
_atom_site_fract_z
Sc1 Sc 0.250 0.250 0.079
Hg1 Hg 0.250 0.750 0.500
Te1 Te 0.250 0.250 0.752
O1 O 0.250 0.750 0.000


Last place for stability: entry S


Entry P
# Hg2SeO, optimized geometry, DFT PBE
# Volume   19.4 Å³/atom
data_Hg2SeO
_chemical_formula_sum 'Hg8 Se4 O4'
_cell_length_a 3.674
_cell_length_b 13.921
_cell_length_c 6.073
_cell_angle_alpha 90.00
_cell_angle_beta 90.00
_cell_angle_gamma 90.00
_symmetry_space_group_name_H-M 'C m c m'
_symmetry_Int_Tables_number 63
_symmetry_space_group_name_Hall '-C 2c 2'
loop_
_atom_site_label
_atom_site_type_symbol
_atom_site_fract_x
_atom_site_fract_y
_atom_site_fract_z
Hg1 Hg 0.000 0.066 0.250
Hg2 Hg 0.000 0.364 0.250
Se1 Se 0.000 0.283 0.750
O1 O 0.000 0.500 0.000


Entry Q
# Hg2SeO, optimized geometry, DFT PBE
# Volume   27.0 Å³/atom
data_Hg2SeO
_chemical_formula_sum 'Hg8 Se4 O4'
_cell_length_a 6.224
_cell_length_b 6.231
_cell_length_c 11.139
_cell_angle_alpha 90.00
_cell_angle_beta 92.57
_cell_angle_gamma 90.00
_symmetry_space_group_name_H-M 'P 1 21 1'
_symmetry_Int_Tables_number 4
loop_
_symmetry_equiv_pos_as_xyz
'x,y,z'
'-x,y+1/2,-z'
loop_
_atom_site_label
_atom_site_type_symbol
_atom_site_fract_x
_atom_site_fract_y
_atom_site_fract_z
Hg1 Hg 0.001 0.000 0.056
Hg2 Hg 0.205 0.269 0.499
Hg3 Hg 0.492 0.003 0.931
Hg4 Hg 0.495 0.020 0.261
Se1 Se 0.208 0.300 0.275
Se2 Se 0.215 0.240 0.725
O1 O 0.253 0.250 0.004
O2 O 0.255 0.752 0.001


Last place for stability: entry P


Entry P
# Hg2SeO, optimized geometry, DFT PBE
# Volume   21.9 Å³/atom
data_Hg2SeO
_chemical_formula_sum 'Hg8 Se4 O4'
_cell_length_a 6.150
_cell_length_b 3.895
_cell_length_c 14.634
_cell_angle_alpha 90.00
_cell_angle_beta 90.00
_cell_angle_gamma 90.00
_symmetry_space_group_name_H-M 'P n m a'
_symmetry_Int_Tables_number 62
loop_
_symmetry_equiv_pos_as_xyz
'x,y,z'
'-x,-y,-z'
'-x+1/2,-y,z+1/2'
'x+1/2,y,-z+1/2'
'x+1/2,-y+1/2,-z+1/2'
'-x+1/2,y+1/2,z+1/2'
'-x,y+1/2,-z'
'x,-y+1/2,z'
loop_
_atom_site_label
_atom_site_type_symbol
_atom_site_fract_x
_atom_site_fract_y
_atom_site_fract_z
Hg1 Hg 0.182 0.250 0.183
Hg2 Hg 0.187 0.750 0.402
Se1 Se 0.243 0.250 0.561
O1 O 0.209 0.750 0.826


Entry Q
# Hg2SeO, optimized geometry, DFT PBE
# Volume   21.4 Å³/atom
data_Hg2SeO
_chemical_formula_sum 'Hg4 Se2 O2'
_cell_length_a 3.9276
_cell_length_b 3.9276
_cell_length_c 12.8110
_cell_angle_alpha 90.00
_cell_angle_beta 90.00
_cell_angle_gamma 120.00
_symmetry_space_group_name_H-M 'P 63 m c'
_symmetry_Int_Tables_number 186
_symmetry_space_group_name_Hall 'P 6c -2c'
loop_
_atom_site_label
_atom_site_type_symbol
_atom_site_fract_x
_atom_site_fract_y
_atom_site_fract_z
Hg1 Hg 0.0000 0.0000 0.0000
Hg2 Hg 0.3333 0.6667 0.2694
Se1 Se 0.3333 0.6667 0.6192
O1 O 0.0000 0.0000 0.3298


Last place for stability: entry Q